Below is a geometry-optimized CaAc2Nd structure, with properties calculated at the PBE-GGA level.

Values from the calculation:
The relative energy among the computed polymorphs is 0.204 eV/atom. The calculated formation energy comes out at 0.231 eV/atom.

Cell: 3.7862 3.7862 40.8072 Å, 90.00 90.00 120.00°
Space group R-3m (No. 166, hexagonal axes)
Inequivalent atoms, fractional coordinates:
1 Ca 0.0000 0.0000 0.0000 [3 per cell]
2 Ac 0.0000 0.0000 0.4140 [6 per cell]
3 Nd 0.0000 0.0000 0.5000 [3 per cell]